MoWNF2 | GGA+U | relaxed

Computed properties:
Energy above the lowest structure with this stoichiometry in meV per atom: 249.6
DOS(E_F) in states/eV/cell: 0.79
Theoretical density in Mg/m³: 7.3
Total magnetization in Bohr magnetons per cell: 6.974
Crystal system: tetragonal
E in eV per atom: -5.598

a = 4.121 Å, b = 4.121 Å, c = 4.441 Å
α = 90.00°, β = 90.00°, γ = 90.00°
Each line ends with the local moment (μB).
Fractional coordinates of all 5 atoms:
F 0.000 0.500 0.000  0.08
F 0.500 0.000 0.000  0.08
Mo 0.000 0.000 0.000  2.67
W 0.500 0.500 0.500  3.65
N 0.000 0.000 0.500  -0.19